# 1
Material: CoCuCl2
Method: DFT, GGA-PBE
State: relaxed

abc: 3.3851 3.3851 13.9701
angles: 90.00 90.00 90.00
Fractional positions:
1 Co 0.0000 0.0000 0.0000
2 Co 0.5000 0.5000 0.5000
3 Cu 0.0000 0.5000 0.7500
4 Cu 0.5000 0.0000 0.2500
5 Cl 0.0000 0.0000 0.5000
6 Cl 0.0000 0.5000 0.2500
7 Cl 0.5000 0.0000 0.7500
8 Cl 0.5000 0.5000 0.0000

Output
- Relative energy among the computed polymorphs: 0.254 eV per atom
- Magnetic moment: 4.0 μB per cell
- DOS(E_F): 7.669 states/eV/cell
- Uncorrected formation energy: 119.9 meV per atom
- DFT total energy: -3.6039 eV per atom

---

# 2
Material: SmHfSe2
Method: DFT, GGA-PBE
State: relaxed

abc: 3.7398 3.7398 27.2120
angles: 90.00 90.00 120.00
Fractional positions:
1 Sm 0.0000 0.0000 0.0000
2 Sm 0.3333 0.6667 0.6667
3 Sm 0.6667 0.3333 0.3333
4 Hf 0.0000 0.0000 0.5000
5 Hf 0.3333 0.6667 0.1667
6 Hf 0.6667 0.3333 0.8333
7 Se 0.0000 0.0000 0.1072
8 Se 0.0000 0.0000 0.8928
9 Se 0.3333 0.6667 0.5595
10 Se 0.3333 0.6667 0.7739
11 Se 0.6667 0.3333 0.2261
12 Se 0.6667 0.3333 0.4405

Output
- Relative energy among the computed polymorphs: 0.336 eV per atom
- Magnetic moment: 0.0 μB per cell
- DOS(E_F): 10.349 states/eV/cell
- Uncorrected formation energy: -1012.5 meV per atom
- DFT total energy: -6.4229 eV per atom

---

# 3
Material: Sn2MoP
Method: DFT, GGA-PBE
State: relaxed

abc: 7.5782 7.5782 5.8500
angles: 90.00 90.00 90.00
Fractional positions:
1 Sn 0.2365 0.7500 0.1250
2 Sn 0.2500 0.2365 0.8750
3 Sn 0.2500 0.2635 0.3750
4 Sn 0.2635 0.7500 0.6250
5 Sn 0.7365 0.2500 0.6250
6 Sn 0.7500 0.7365 0.3750
7 Sn 0.7500 0.7635 0.8750
8 Sn 0.7635 0.2500 0.1250
9 Mo 0.0000 0.0000 0.5000
10 Mo 0.0000 0.5000 0.7500
11 Mo 0.5000 0.0000 0.2500
12 Mo 0.5000 0.5000 0.0000
13 P 0.0000 0.0000 0.0000
14 P 0.0000 0.5000 0.2500
15 P 0.5000 0.0000 0.7500
16 P 0.5000 0.5000 0.5000

Output
- Magnetic moment: 6.9 μB per cell
- DOS(E_F): 13.684 states/eV/cell
- Formation enthalpy at 0 K: 2.6 eV/f.u.
- DFT total energy: -5.4164 eV per atom

---

# 4
Material: RbSn3Au3
Method: DFT, GGA-PBE
State: relaxed

abc: 9.6023 9.6023 9.6023
angles: 49.87 49.87 49.87
Fractional positions:
1 Rb 0.1661 0.1661 0.1661
2 Rb 0.8339 0.8339 0.8339
3 Sn 0.0963 0.3803 0.6841
4 Sn 0.3159 0.9037 0.6197
5 Sn 0.3803 0.6841 0.0963
6 Sn 0.6197 0.3159 0.9037
7 Sn 0.6841 0.0963 0.3803
8 Sn 0.9037 0.6197 0.3159
9 Au 0.0181 0.7558 0.4004
10 Au 0.2442 0.5996 0.9819
11 Au 0.4004 0.0181 0.7558
12 Au 0.5996 0.9819 0.2442
13 Au 0.7558 0.4004 0.0181
14 Au 0.9819 0.2442 0.5996

Output
- Relative energy among the computed polymorphs: 0.028 eV per atom
- Magnetic moment: 0.0 μB per cell
- DOS(E_F): 6.292 states/eV/cell
- Formation enthalpy at 0 K: -0.9 eV/f.u.
- DFT total energy: -3.3815 eV per atom

---

# 5
Material: Tb3Ga3Pd
Method: DFT, GGA-PBE
State: relaxed

abc: 5.7960 5.7960 14.3762
angles: 108.57 108.57 44.18
Fractional positions:
1 Tb 0.0323 0.0323 0.3807
2 Tb 0.1063 0.1063 0.9257
3 Tb 0.2394 0.2394 0.2321
4 Tb 0.7606 0.7606 0.7679
5 Tb 0.8937 0.8937 0.0743
6 Tb 0.9677 0.9677 0.6193
7 Ga 0.3669 0.3669 0.4604
8 Ga 0.3908 0.3908 0.9236
9 Ga 0.4726 0.4726 0.7706
10 Ga 0.5274 0.5274 0.2294
11 Ga 0.6092 0.6092 0.0764
12 Ga 0.6331 0.6331 0.5396
13 Pd 0.2540 0.2540 0.6087
14 Pd 0.7460 0.7460 0.3913

Output
- Magnetic moment: 0.0 μB per cell
- DOS(E_F): 12.141 states/eV/cell
- Formation enthalpy at 0 K: -5.1 eV/f.u.
- DFT total energy: -4.7462 eV per atom

---

# 6
Material: Tb3Sn2Rh6
Method: DFT, GGA-PBE
State: relaxed

abc: 8.2554 8.2554 8.2554
angles: 109.47 109.47 109.47
Fractional positions:
1 Tb 0.0000 0.2931 0.2931
2 Tb 0.0000 0.7069 0.7069
3 Tb 0.2931 0.0000 0.2931
4 Tb 0.2931 0.2931 0.0000
5 Tb 0.7069 0.0000 0.7069
6 Tb 0.7069 0.7069 0.0000
7 Sn 0.0000 0.0000 0.5000
8 Sn 0.0000 0.5000 0.0000
9 Sn 0.5000 0.0000 0.0000
10 Sn 0.5000 0.5000 0.5000
11 Rh 0.0000 0.3489 0.6511
12 Rh 0.0000 0.6511 0.3489
13 Rh 0.3022 0.6511 0.6511
14 Rh 0.3489 0.0000 0.6511
15 Rh 0.3489 0.3489 0.6978
16 Rh 0.3489 0.6511 0.0000
17 Rh 0.3489 0.6978 0.3489
18 Rh 0.6511 0.0000 0.3489
19 Rh 0.6511 0.3022 0.6511
20 Rh 0.6511 0.3489 0.0000
21 Rh 0.6511 0.6511 0.3022
22 Rh 0.6978 0.3489 0.3489

Output
- Relative energy among the computed polymorphs: 0.000 eV per atom
- Magnetic moment: 0.0 μB per cell
- DOS(E_F): 12.314 states/eV/cell
- Formation enthalpy at 0 K: -7.9 eV/f.u.
- DFT total energy: -6.7142 eV per atom

---

# 7
Material: La2TbSm7
Method: DFT, GGA-PBE
State: relaxed

abc: 11.3230 11.3230 3.5335
angles: 90.00 90.00 122.92
Fractional positions:
1 La 0.1811 0.8189 0.0000
2 La 0.8189 0.1811 0.0000
3 Tb 0.5000 0.5000 0.5000
4 Sm 0.0000 0.0000 0.0000
5 Sm 0.1830 0.3559 0.0000
6 Sm 0.3257 0.6743 0.5000
7 Sm 0.3559 0.1830 0.0000
8 Sm 0.6441 0.8170 0.0000
9 Sm 0.6743 0.3257 0.5000
10 Sm 0.8170 0.6441 0.0000

Output
- Relative energy among the computed polymorphs: 0.413 eV per atom
- Magnetic moment: 0.4 μB per cell
- DOS(E_F): 17.281 states/eV/cell
- Formation enthalpy at 0 K: 4.3 eV/f.u.
- DFT total energy: -4.3186 eV per atom

---

# 8
Material: Tl2ReIr
Method: DFT, GGA-PBE
State: relaxed

abc: 2.8722 3.6019 8.5343
angles: 90.00 90.00 90.00
Fractional positions:
1 Tl 0.0000 0.0000 0.0000
2 Tl 0.5000 0.5000 0.3427
3 Re 0.5000 0.5000 0.7430
4 Ir 0.0000 0.0000 0.6079

Output
- Relative energy among the computed polymorphs: 0.021 eV per atom
- Magnetic moment: 0.0 μB per cell
- DOS(E_F): 2.355 states/eV/cell
- Formation enthalpy at 0 K: 1.9 eV/f.u.
- DFT total energy: -6.0378 eV per atom

---

# 9
Material: InIr3Au
Method: DFT, GGA-PBE
State: relaxed

abc: 4.8847 4.8847 4.8847
angles: 90.00 90.00 90.00
Fractional positions:
1 In 0.0000 0.0000 0.0000
2 Ir 0.0000 0.5000 0.5000
3 Ir 0.5000 0.0000 0.5000
4 Ir 0.5000 0.5000 0.0000
5 Au 0.5000 0.5000 0.5000

Output
- Relative energy among the computed polymorphs: 0.000 eV per atom
- Magnetic moment: 1.8 μB per cell
- DOS(E_F): 11.102 states/eV/cell
- Formation enthalpy at 0 K: 9.9 eV/f.u.
- DFT total energy: -4.5350 eV per atom

---

# 10
Material: Ga3SbC
Method: DFT, GGA-PBE
State: relaxed

abc: 5.4323 5.4323 5.4323
angles: 90.00 90.00 90.00
Fractional positions:
1 Ga 0.0000 0.0000 0.5000
2 Ga 0.0000 0.5000 0.0000
3 Ga 0.5000 0.0000 0.0000
4 Sb 0.0000 0.0000 0.0000
5 C 0.5000 0.5000 0.5000

Output
- Relative energy among the computed polymorphs: 1.271 eV per atom
- Magnetic moment: 1.9 μB per cell
- DOS(E_F): 2.109 states/eV/cell
- Uncorrected formation energy: 1809.8 meV per atom
- DFT total energy: -2.6756 eV per atom

---

# 11
Material: NpSi2Os
Method: DFT, GGA-PBE
State: relaxed

abc: 4.1030 4.1030 14.3119
angles: 90.00 90.00 120.00
Fractional positions:
1 Np 0.0000 0.0000 0.0000
2 Np 0.3333 0.6667 0.6667
3 Np 0.6667 0.3333 0.3333
4 Si 0.0000 0.0000 0.2142
5 Si 0.0000 0.0000 0.7858
6 Si 0.3333 0.6667 0.4525
7 Si 0.3333 0.6667 0.8808
8 Si 0.6667 0.3333 0.1192
9 Si 0.6667 0.3333 0.5475
10 Os 0.0000 0.0000 0.5000
11 Os 0.3333 0.6667 0.1667
12 Os 0.6667 0.3333 0.8333

Output
- Magnetic moment: 10.3 μB per cell
- DOS(E_F): 34.826 states/eV/cell
- Uncorrected formation energy: -321.1 meV per atom
- DFT total energy: -9.0752 eV per atom

---

# 12
Material: Zr2SiBr
Method: DFT, GGA-PBE
State: relaxed

abc: 3.6986 3.6986 6.0638
angles: 90.00 90.00 90.00
Fractional positions:
1 Zr 0.0000 0.0000 0.0000
2 Zr 0.5000 0.5000 0.3244
3 Si 0.5000 0.5000 0.8638
4 Br 0.0000 0.0000 0.4864

Output
- Relative energy among the computed polymorphs: 0.217 eV per atom
- Magnetic moment: 0.0 μB per cell
- DOS(E_F): 2.644 states/eV/cell
- Uncorrected formation energy: -425.0 meV per atom
- DFT total energy: -6.4730 eV per atom

---

# 13
Material: LuTaGe2
Method: DFT, GGA-PBE
State: relaxed

abc: 3.8090 3.8090 19.4770
angles: 90.00 90.00 120.00
Fractional positions:
1 Lu 0.0000 0.0000 0.0000
2 Lu 0.3333 0.6667 0.6667
3 Lu 0.6667 0.3333 0.3333
4 Ta 0.0000 0.0000 0.5000
5 Ta 0.3333 0.6667 0.1667
6 Ta 0.6667 0.3333 0.8333
7 Ge 0.0000 0.0000 0.2428
8 Ge 0.0000 0.0000 0.7572
9 Ge 0.3333 0.6667 0.4239
10 Ge 0.3333 0.6667 0.9094
11 Ge 0.6667 0.3333 0.0906
12 Ge 0.6667 0.3333 0.5761

Output
- Magnetic moment: 0.0 μB per cell
- DOS(E_F): 4.370 states/eV/cell
- Formation enthalpy at 0 K: -1.6 eV/f.u.
- DFT total energy: -6.7968 eV per atom

---

# 14
Material: RbU2F9
Method: DFT, GGA-PBE
State: relaxed

abc: 7.8735 7.8735 3.6100
angles: 90.00 90.00 120.00
Fractional positions:
1 Rb 0.0000 0.0000 0.0000
2 U 0.3333 0.6667 0.0000
3 U 0.6667 0.3333 0.0000
4 F 0.0000 0.5000 0.0000
5 F 0.2209 0.4417 0.5000
6 F 0.2209 0.7791 0.5000
7 F 0.4417 0.2209 0.5000
8 F 0.5000 0.0000 0.0000
9 F 0.5000 0.5000 0.0000
10 F 0.5583 0.7791 0.5000
11 F 0.7791 0.2209 0.5000
12 F 0.7791 0.5583 0.5000

Output
- Relative energy among the computed polymorphs: 0.101 eV per atom
- Magnetic moment: 4.0 μB per cell
- DOS(E_F): 8.771 states/eV/cell
- Uncorrected formation energy: -3408.1 meV per atom
- DFT total energy: -6.7736 eV per atom

---

# 15
Material: ScWS2N
Method: DFT, GGA-PBE
State: relaxed

abc: 4.8024 4.8024 3.8079
angles: 90.00 90.00 90.00
Fractional positions:
1 Sc 0.0000 0.0000 0.0000
2 W 0.5000 0.5000 0.5000
3 S 0.0000 0.5000 0.5000
4 S 0.5000 0.0000 0.5000
5 N 0.5000 0.5000 0.0000

Output
- Relative energy among the computed polymorphs: 0.000 eV per atom
- Magnetic moment: 0.0 μB per cell
- DOS(E_F): 2.651 states/eV/cell
- Uncorrected formation energy: -407.4 meV per atom
- DFT total energy: -7.5804 eV per atom

---

# 16
Material: LiCrIrPd
Method: DFT, GGA-PBE
State: relaxed

abc: 5.9746 5.9746 5.9746
angles: 90.00 90.00 90.00
Fractional positions:
1 Li 0.0000 0.0000 0.0000
2 Li 0.0000 0.5000 0.5000
3 Li 0.5000 0.0000 0.5000
4 Li 0.5000 0.5000 0.0000
5 Cr 0.0000 0.0000 0.5000
6 Cr 0.0000 0.5000 0.0000
7 Cr 0.5000 0.0000 0.0000
8 Cr 0.5000 0.5000 0.5000
9 Ir 0.2500 0.2500 0.7500
10 Ir 0.2500 0.7500 0.2500
11 Ir 0.7500 0.2500 0.2500
12 Ir 0.7500 0.7500 0.7500
13 Pd 0.2500 0.2500 0.2500
14 Pd 0.2500 0.7500 0.7500
15 Pd 0.7500 0.2500 0.7500
16 Pd 0.7500 0.7500 0.2500

Output
- Magnetic moment: 8.3 μB per cell
- DOS(E_F): 10.145 states/eV/cell
- Formation enthalpy at 0 K: -0.5 eV/f.u.
- DFT total energy: -6.5175 eV per atom

---

# 17
Material: Li2TbSm2Sn2
Method: DFT, GGA-PBE
State: relaxed

abc: 9.4732 9.4732 9.4732
angles: 29.31 29.31 29.31
Fractional positions:
1 Li 0.1021 0.1021 0.1021
2 Li 0.8979 0.8979 0.8979
3 Tb 0.5000 0.5000 0.5000
4 Sm 0.3716 0.3716 0.3716
5 Sm 0.6284 0.6284 0.6284
6 Sn 0.2346 0.2346 0.2346
7 Sn 0.7654 0.7654 0.7654

Output
- Magnetic moment: 0.0 μB per cell
- DOS(E_F): 4.398 states/eV/cell
- Formation enthalpy at 0 K: -3.2 eV/f.u.
- DFT total energy: -4.1617 eV per atom

---

# 18
Material: Rb2Pu2F7
Method: DFT, GGA-PBE
State: relaxed

abc: 5.9115 5.9115 6.4754
angles: 90.00 90.00 95.90
Fractional positions:
1 Rb 0.2427 0.2427 0.0000
2 Rb 0.7573 0.7573 0.0000
3 Pu 0.2752 0.7248 0.5000
4 Pu 0.7248 0.2752 0.5000
5 F 0.0000 0.0000 0.5000
6 F 0.0000 0.5000 0.2810
7 F 0.0000 0.5000 0.7190
8 F 0.5000 0.0000 0.2810
9 F 0.5000 0.0000 0.7190
10 F 0.5000 0.5000 0.2824
11 F 0.5000 0.5000 0.7176

Output
- Magnetic moment: 11.0 μB per cell
- DOS(E_F): 18.935 states/eV/cell
- Uncorrected formation energy: -3196.8 meV per atom
- DFT total energy: -7.1694 eV per atom

---

# 19
Material: TlSn2HPb
Method: DFT, GGA-PBE
State: relaxed

abc: 5.8709 5.8709 6.3711
angles: 90.00 90.00 90.00
Fractional positions:
1 Tl 0.0000 0.0000 0.0000
2 Sn 0.0000 0.5000 0.5000
3 Sn 0.5000 0.0000 0.5000
4 H 0.5000 0.5000 0.0000
5 Pb 0.0000 0.0000 0.5000

Output
- Relative energy among the computed polymorphs: 0.810 eV per atom
- Magnetic moment: 0.6 μB per cell
- DOS(E_F): 4.663 states/eV/cell
- DFT total energy: -2.4568 eV per atom

---

# 20
Material: NiAuI2N
Method: DFT, GGA-PBE
State: relaxed

abc: 5.8985 5.8985 3.7819
angles: 90.00 90.00 90.00
Fractional positions:
1 Ni 0.0000 0.0000 0.0000
2 Au 0.5000 0.5000 0.5000
3 I 0.0000 0.5000 0.5000
4 I 0.5000 0.0000 0.5000
5 N 0.5000 0.5000 0.0000

Output
- Relative energy among the computed polymorphs: 0.586 eV per atom
- Magnetic moment: 1.0 μB per cell
- DOS(E_F): 8.994 states/eV/cell
- Uncorrected formation energy: 1270.5 meV per atom
- DFT total energy: -2.8264 eV per atom

---

# 21
Material: Nd2Ni9Ir
Method: DFT, GGA-PBE
State: relaxed

abc: 8.6137 8.6137 8.6137
angles: 33.19 33.19 33.19
Fractional positions:
1 Nd 0.1322 0.1322 0.1322
2 Nd 0.8678 0.8678 0.8678
3 Ni 0.0797 0.5786 0.5786
4 Ni 0.3328 0.3328 0.3328
5 Ni 0.4214 0.4214 0.9203
6 Ni 0.4214 0.9203 0.4214
7 Ni 0.5000 0.5000 0.5000
8 Ni 0.5786 0.0797 0.5786
9 Ni 0.5786 0.5786 0.0797
10 Ni 0.6672 0.6672 0.6672
11 Ni 0.9203 0.4214 0.4214
12 Ir 0.0000 0.0000 0.0000

Output
- Magnetic moment: 4.2 μB per cell
- DOS(E_F): 15.129 states/eV/cell
- Formation enthalpy at 0 K: -0.3 eV/f.u.
- DFT total energy: -5.8934 eV per atom

---

# 22
Material: Pm3Pr5Sm4
Method: DFT, GGA-PBE
State: relaxed

abc: 6.3602 7.3315 9.0013
angles: 90.02 90.09 90.02
Fractional positions:
1 Pm 0.0000 0.0000 0.0000
2 Pm 0.1667 0.7486 0.6656
3 Pm 0.8333 0.2514 0.3344
4 Pr 0.0000 0.5000 0.0000
5 Pr 0.3320 0.0005 0.3345
6 Pr 0.4999 0.2507 0.9998
7 Pr 0.5001 0.7493 0.0002
8 Pr 0.6680 0.9995 0.6655
9 Sm 0.1665 0.2510 0.6657
10 Sm 0.3335 0.5004 0.3352
11 Sm 0.6665 0.4996 0.6648
12 Sm 0.8335 0.7490 0.3343

Output
- Relative energy among the computed polymorphs: 0.000 eV per atom
- Magnetic moment: 0.0 μB per cell
- DOS(E_F): 18.200 states/eV/cell
- Formation enthalpy at 0 K: 0.2 eV/f.u.
- DFT total energy: -4.7395 eV per atom

---

# 23
Material: La2ErIr9
Method: DFT, GGA-PBE
State: relaxed

abc: 9.4738 9.4738 9.4738
angles: 32.78 32.78 32.78
Fractional positions:
1 La 0.1394 0.1394 0.1394
2 La 0.8606 0.8606 0.8606
3 Er 0.0000 0.0000 0.0000
4 Ir 0.0830 0.5780 0.5780
5 Ir 0.3320 0.3320 0.3320
6 Ir 0.4220 0.4220 0.9170
7 Ir 0.4220 0.9170 0.4220
8 Ir 0.5000 0.5000 0.5000
9 Ir 0.5780 0.0830 0.5780
10 Ir 0.5780 0.5780 0.0830
11 Ir 0.6680 0.6680 0.6680
12 Ir 0.9170 0.4220 0.4220

Output
- Magnetic moment: 0.0 μB per cell
- DOS(E_F): 10.221 states/eV/cell
- Formation enthalpy at 0 K: -6.2 eV/f.u.
- DFT total energy: -8.3672 eV per atom

---

# 24
Material: LaP2IrS
Method: DFT, GGA-PBE
State: relaxed

abc: 4.5448 4.5448 5.1407
angles: 90.00 90.00 90.00
Fractional positions:
1 La 0.0000 0.0000 0.0000
2 P 0.0000 0.5000 0.5000
3 P 0.5000 0.0000 0.5000
4 Ir 0.5000 0.5000 0.5000
5 S 0.5000 0.5000 0.0000

Output
- Relative energy among the computed polymorphs: 0.000 eV per atom
- Magnetic moment: 0.0 μB per cell
- DOS(E_F): 3.956 states/eV/cell
- Uncorrected formation energy: -450.7 meV per atom
- DFT total energy: -6.1978 eV per atom

---

# 25
Material: BeVAg
Method: DFT, GGA-PBE
State: relaxed

abc: 2.6979 2.6979 10.7668
angles: 90.00 90.00 90.00
Fractional positions:
1 Be 0.0000 0.0000 0.0000
2 Be 0.5000 0.5000 0.5000
3 V 0.0000 0.0000 0.3592
4 V 0.5000 0.5000 0.8592
5 Ag 0.0000 0.0000 0.6548
6 Ag 0.5000 0.5000 0.1548

Output
- Relative energy among the computed polymorphs: 0.052 eV per atom
- Magnetic moment: 0.0 μB per cell
- DOS(E_F): 2.730 states/eV/cell
- Formation enthalpy at 0 K: 0.5 eV/f.u.
- DFT total energy: -5.0720 eV per atom